No. 1
SiP2Au after structural relaxation. Source: the Alexandria database, functional PBE-GGA.

Unit cell a=3.098 b=3.098 c=7.179 alpha=90.00 beta=90.00 gamma=90.00
Element x y z (fractional)
Si: 0.000 0.000 0.521
Au: 0.500 0.500 0.730
P: 0.500 0.500 0.188
P: 0.000 0.000 0.060

Magnetization: 0.00 Bohr magnetons per cell
Symmetry: P4mm (99)
Final energy: -4.44 eV per atom
E_form (uncorrected): 0.435 eV per atom

***

No. 2
SiP2Au after structural relaxation. Source: the Alexandria database, functional PBE-GGA.

Unit cell a=6.360 b=6.360 c=6.360 alpha=32.22 beta=32.22 gamma=32.22
Element x y z (fractional)
Au: 0.750 0.750 0.750
Si: 0.250 0.250 0.250
P: 0.991 0.991 0.991
P: 0.509 0.509 0.509

Magnetization: 0.00 Bohr magnetons per cell
Symmetry: R-3m (166)
Final energy: -4.79 eV per atom
E_form (uncorrected): 0.087 eV per atom

***

No. 3
SiP2Au after structural relaxation. Source: the Alexandria database, functional PBE-GGA.

Unit cell a=2.717 b=2.717 c=9.369 alpha=90.00 beta=90.00 gamma=109.45
Element x y z (fractional)
P: 0.000 0.000 0.041
Au: 0.500 0.500 0.750
Si: 0.500 0.500 0.250
P: 0.000 0.000 0.459

Magnetization: 0.00 Bohr magnetons per cell
Symmetry: Cmmm (65)
Final energy: -4.34 eV per atom
E_form (uncorrected): 0.541 eV per atom

***

No. 4
SiP2Au after structural relaxation. Source: the Alexandria database, functional PBE-GGA.

Unit cell a=3.520 b=4.360 c=4.590 alpha=72.59 beta=90.00 gamma=90.00
Element x y z (fractional)
P: 0.000 0.970 0.054
Au: 0.500 0.750 0.750
P: 0.000 0.530 0.446
Si: 0.500 0.250 0.250

Magnetization: 0.00 Bohr magnetons per cell
Symmetry: P2/m (10)
Final energy: -4.80 eV per atom
E_form (uncorrected): 0.082 eV per atom

***

No. 5
SiP2Au after structural relaxation. Source: the Alexandria database, functional PBE-GGA.

Unit cell a=5.790 b=5.790 c=5.790 alpha=145.20 beta=139.22 gamma=54.66
Element x y z (fractional)
P: 0.914 0.914 0.000
Si: 0.750 0.250 0.500
P: 0.586 0.586 0.000
Au: 0.250 0.750 0.500

Magnetization: 0.00 Bohr magnetons per cell
Symmetry: Immm (71)
Final energy: -4.53 eV per atom
E_form (uncorrected): 0.347 eV per atom

***

No. 6
SiP4Au after structural relaxation. Source: the Alexandria database, functional PBE-GGA.

Unit cell a=5.165 b=5.165 c=5.165 alpha=60.00 beta=60.00 gamma=60.00
Element x y z (fractional)
Au: 0.000 0.000 0.000
P: 0.371 0.887 0.371
P: 0.371 0.371 0.887
P: 0.887 0.371 0.371
P: 0.371 0.371 0.371
Si: 0.750 0.750 0.750

Magnetization: 0.00 Bohr magnetons per cell
Symmetry: F-43m (216)
Final energy: -4.29 eV per atom
E_form (uncorrected): 0.762 eV per atom